A relaxed structure of TiNbH2, computed with GGA-PBE.

a = 5.414 Å, b = 5.414 Å, c = 5.414 Å
α = 90.00°, β = 90.00°, γ = 90.00°
Space group Fm-3m (No. 225)
One atom of each set of equivalent atoms:
1 Ti 0.000 0.000 0.000 (multiplicity 4)
2 Nb 0.000 0.000 0.500 (multiplicity 4)
3 H 0.250 0.250 0.250 (multiplicity 8)

Properties
VASP energy: -5.92 eV per atom
DOS at the Fermi energy: 4.32 states/eV/cell
calculated volume: 9.92 Å³ per atom
excess energy over the best structure of this formula in the dataset: 552 meV/atom